Density functional theory data (GGA-PBEsol) for Li2LaSi after structural relaxation.

a b c (Å): 6.9145 6.9145 6.9145
angles (deg): 90.00 90.00 90.00
Element x y z (fractional)
Li1 0.0000 0.0000 0.0000
Li2 0.0000 0.5000 0.5000
Li3 0.2500 0.2500 0.2500
Li4 0.2500 0.7500 0.7500
Li5 0.5000 0.0000 0.5000
Li6 0.5000 0.5000 0.0000
Li7 0.7500 0.2500 0.7500
Li8 0.7500 0.7500 0.2500
La1 0.0000 0.0000 0.5000
La2 0.0000 0.5000 0.0000
La3 0.5000 0.0000 0.0000
La4 0.5000 0.5000 0.5000
Si1 0.2500 0.2500 0.7500
Si2 0.2500 0.7500 0.2500
Si3 0.7500 0.2500 0.2500
Si4 0.7500 0.7500 0.7500

Output
The uncorrected formation energy is -0.29 eV/atom. The value obtained for the total energy is -4.046 eV/atom.


Density functional theory data (GGA-PBEsol) for Sc4MnHg after structural relaxation.

a b c (Å): 5.6174 5.6174 5.6174
angles (deg): 60.00 60.00 60.00
Element x y z (fractional)
Sc1 0.3757 0.3757 0.3757
Sc2 0.3757 0.3757 0.8730
Sc3 0.3757 0.8730 0.3757
Sc4 0.8730 0.3757 0.3757
Mn1 0.7500 0.7500 0.7500
Hg1 0.0000 0.0000 0.0000

Output
The energy relative to the elements comes out at 0.407 eV per atom. The value obtained for the total energy is -5.718 eV/atom.


Density functional theory data (GGA-PBEsol) for GeP2 after structural relaxation.

a b c (Å): 5.9280 5.9280 5.9280
angles (deg): 90.00 90.00 90.00
Element x y z (fractional)
Ge1 0.0000 0.0000 0.0000
Ge2 0.0000 0.5000 0.5000
Ge3 0.5000 0.0000 0.5000
Ge4 0.5000 0.5000 0.0000
P1 0.1038 0.6038 0.8962
P2 0.1038 0.8962 0.3962
P3 0.3962 0.1038 0.8962
P4 0.3962 0.3962 0.3962
P5 0.6038 0.6038 0.6038
P6 0.6038 0.8962 0.1038
P7 0.8962 0.1038 0.6038
P8 0.8962 0.3962 0.1038

Output
The energy relative to the elements comes out at 0.044 eV per atom. The value obtained for the total energy is -5.463 eV/atom.


Density functional theory data (GGA-PBEsol) for NdZr6P9O36 after structural relaxation.

a b c (Å): 8.8574 8.8574 22.9307
angles (deg): 90.00 90.00 120.00
Element x y z (fractional)
Nd1 0.0000 0.0000 0.0000
Nd2 0.0000 0.0000 0.5000
Zr1 0.0000 0.0000 0.1496
Zr2 0.0000 0.0000 0.3504
Zr3 0.0000 0.0000 0.6496
Zr4 0.0000 0.0000 0.8504
Zr5 0.3333 0.6667 0.0287
Zr6 0.3333 0.6667 0.3122
Zr7 0.3333 0.6667 0.5287
Zr8 0.3333 0.6667 0.8122
Zr9 0.6667 0.3333 0.1878
Zr10 0.6667 0.3333 0.4713
Zr11 0.6667 0.3333 0.6878
Zr12 0.6667 0.3333 0.9713
P1 0.0000 0.2908 0.2500
P2 0.0000 0.7092 0.7500
P3 0.0550 0.3763 0.9207
P4 0.0550 0.6787 0.4207
P5 0.2908 0.0000 0.2500
P6 0.2908 0.2908 0.7500
P7 0.3213 0.3763 0.4207
P8 0.3213 0.9450 0.9207
P9 0.3763 0.0550 0.5793
P10 0.3763 0.3213 0.0793
P11 0.6237 0.6787 0.9207
P12 0.6237 0.9450 0.4207
P13 0.6787 0.0550 0.0793
P14 0.6787 0.6237 0.5793
P15 0.7092 0.0000 0.7500
P16 0.7092 0.7092 0.2500
P17 0.9450 0.3213 0.5793
P18 0.9450 0.6237 0.0793
O1 0.0165 0.1819 0.9187
O2 0.0165 0.8347 0.4187
O3 0.0319 0.2038 0.1962
O4 0.0319 0.8281 0.6962
O5 0.1202 0.4914 0.5753
O6 0.1202 0.6288 0.0753
O7 0.1504 0.4703 0.8653
O8 0.1504 0.6801 0.3653
O9 0.1599 0.4682 0.2603
O10 0.1599 0.6918 0.7603
O11 0.1653 0.1819 0.4187
O12 0.1653 0.9835 0.9187
O13 0.1660 0.4556 0.9756
O14 0.1660 0.7104 0.4756
O15 0.1719 0.2038 0.6962
O16 0.1719 0.9681 0.1962
O17 0.1819 0.0165 0.5813
O18 0.1819 0.1653 0.0813
O19 0.2038 0.0319 0.3038
O20 0.2038 0.1719 0.8038
O21 0.2896 0.4556 0.4756
O22 0.2896 0.8340 0.9756
O23 0.3082 0.4682 0.7603
O24 0.3082 0.8401 0.2603
O25 0.3199 0.4703 0.3653
O26 0.3199 0.8496 0.8653
O27 0.3712 0.4914 0.0753
O28 0.3712 0.8798 0.5753
O29 0.4556 0.1660 0.5244
O30 0.4556 0.2896 0.0244
O31 0.4682 0.1599 0.2397
O32 0.4682 0.3082 0.7397
O33 0.4703 0.1504 0.6347
O34 0.4703 0.3199 0.1347
O35 0.4914 0.1202 0.9247
O36 0.4914 0.3712 0.4247
O37 0.5086 0.6288 0.5753
O38 0.5086 0.8798 0.0753
O39 0.5297 0.6801 0.8653
O40 0.5297 0.8496 0.3653
O41 0.5318 0.6918 0.2603
O42 0.5318 0.8401 0.7603
O43 0.5444 0.7104 0.9756
O44 0.5444 0.8340 0.4756
O45 0.6288 0.1202 0.4247
O46 0.6288 0.5086 0.9247
O47 0.6801 0.1504 0.1347
O48 0.6801 0.5297 0.6347
O49 0.6918 0.1599 0.7397
O50 0.6918 0.5318 0.2397
O51 0.7104 0.1660 0.0244
O52 0.7104 0.5444 0.5244
O53 0.7962 0.8281 0.1962
O54 0.7962 0.9681 0.6962
O55 0.8181 0.8347 0.9187
O56 0.8181 0.9835 0.4187
O57 0.8281 0.0319 0.8038
O58 0.8281 0.7962 0.3038
O59 0.8340 0.2896 0.5244
O60 0.8340 0.5444 0.0244
O61 0.8347 0.0165 0.0813
O62 0.8347 0.8181 0.5813
O63 0.8401 0.3082 0.2397
O64 0.8401 0.5318 0.7397
O65 0.8496 0.3199 0.6347
O66 0.8496 0.5297 0.1347
O67 0.8798 0.3712 0.9247
O68 0.8798 0.5086 0.4247
O69 0.9681 0.1719 0.3038
O70 0.9681 0.7962 0.8038
O71 0.9835 0.1653 0.5813
O72 0.9835 0.8181 0.0813

Output
The uncorrected formation energy is -2.80 eV/atom. The value obtained for the total energy is -8.586 eV/atom.


Density functional theory data (GGA-PBEsol) for Na5Pt after structural relaxation.

a b c (Å): 5.7172 5.7172 5.1869
angles (deg): 90.00 90.00 120.00
Element x y z (fractional)
Na1 0.0000 0.7044 0.0000
Na2 0.2956 0.2956 0.0000
Na3 0.3333 0.6667 0.5000
Na4 0.6667 0.3333 0.5000
Na5 0.7044 0.0000 0.0000
Pt1 0.0000 0.0000 0.5000

Output
The energy relative to the elements comes out at 0.052 eV per atom. The value obtained for the total energy is -2.275 eV/atom.


Density functional theory data (GGA-PBEsol) for MgH2 after structural relaxation.

a b c (Å): 4.7796 4.7796 4.7796
angles (deg): 90.00 90.00 90.00
Element x y z (fractional)
Mg1 0.0000 0.0000 0.0000
Mg2 0.0000 0.5000 0.5000
Mg3 0.5000 0.0000 0.5000
Mg4 0.5000 0.5000 0.0000
H1 0.1512 0.6512 0.8488
H2 0.1512 0.8488 0.3488
H3 0.3488 0.1512 0.8488
H4 0.3488 0.3488 0.3488
H5 0.6512 0.6512 0.6512
H6 0.6512 0.8488 0.1512
H7 0.8488 0.1512 0.6512
H8 0.8488 0.3488 0.1512

Output
The value obtained for the total energy is -2.933 eV/atom.


Density functional theory data (GGA-PBEsol) for MgTc after structural relaxation.

a b c (Å): 2.7554 2.7554 9.8115
angles (deg): 90.00 90.00 120.00
Element x y z (fractional)
Mg1 0.3333 0.6667 0.0000
Mg2 0.6667 0.3333 0.5000
Tc1 0.3333 0.6667 0.7323
Tc2 0.6667 0.3333 0.2323

Output
The energy relative to the elements comes out at 0.601 eV per atom. The value obtained for the total energy is -5.890 eV/atom.


Density functional theory data (GGA-PBEsol) for Ba2LiHg after structural relaxation.

a b c (Å): 12.6080 4.0753 5.8805
angles (deg): 90.00 111.65 90.00
Element x y z (fractional)
Ba1 0.0000 0.0000 0.0000
Ba2 0.1965 0.0000 0.6522
Ba3 0.5000 0.5000 0.0000
Ba4 0.6965 0.5000 0.6522
Li1 0.2919 0.5000 0.2608
Li2 0.7919 0.0000 0.2608
Hg1 0.4501 0.0000 0.4586
Hg2 0.9501 0.5000 0.4586

Output
The energy relative to the elements comes out at -0.242 eV per atom. The value obtained for the total energy is -1.950 eV/atom.


| no. | calculated density (g cm⁻³) |
| --- | --- |
| 1 | 3.6 |
| 2 | 5.8 |
| 3 | 4.3 |
| 4 | 3.3 |
| 5 | 3.5 |
| 6 | 1.6 |
| 7 | 6.3 |
| 8 | 5.7 |